1.
This record from Alexandria via LeMat-Bulk describes a relaxed structure of Li2Dy2TmCd5. The functional is PBE.

a = 10.424 Å, b = 10.424 Å, c = 4.148 Å
α = 90.00°, β = 90.00°, γ = 90.00°
Element x y z (fractional)
Li 0.115 0.385 0.000
Li 0.385 0.885 0.000
Li 0.615 0.115 0.000
Li 0.885 0.615 0.000
Dy 0.179 0.679 0.000
Dy 0.321 0.179 0.000
Dy 0.679 0.821 0.000
Dy 0.821 0.321 0.000
Tm 0.000 0.000 0.000
Tm 0.500 0.500 0.000
Cd 0.000 0.500 0.500
Cd 0.061 0.215 0.500
Cd 0.215 0.939 0.500
Cd 0.285 0.439 0.500
Cd 0.439 0.715 0.500
Cd 0.500 0.000 0.500
Cd 0.561 0.285 0.500
Cd 0.715 0.561 0.500
Cd 0.785 0.061 0.500
Cd 0.939 0.785 0.500

Values from the calculation:
As for the symmetry: P4/mbm, No. 127.

2.
This record from Alexandria via LeMat-Bulk describes a relaxed structure of LiDy2YCd4. The functional is PBE.

a = 9.023 Å, b = 9.023 Å, c = 9.023 Å
α = 33.48°, β = 33.48°, γ = 33.48°
Element x y z (fractional)
Li 0.000 0.000 0.000
Dy 0.251 0.251 0.251
Dy 0.749 0.749 0.749
Y 0.500 0.500 0.500
Cd 0.121 0.121 0.121
Cd 0.373 0.373 0.373
Cd 0.627 0.627 0.627
Cd 0.879 0.879 0.879

Values from the calculation:
As for the symmetry: R-3m, No. 166.

3.
This record from Alexandria via LeMat-Bulk describes a relaxed structure of LiDyY2Cd4. The functional is PBE.

a = 9.026 Å, b = 9.026 Å, c = 9.026 Å
α = 33.51°, β = 33.51°, γ = 33.51°
Element x y z (fractional)
Li 0.000 0.000 0.000
Dy 0.500 0.500 0.500
Y 0.252 0.252 0.252
Y 0.748 0.748 0.748
Cd 0.121 0.121 0.121
Cd 0.374 0.374 0.374
Cd 0.626 0.626 0.626
Cd 0.879 0.879 0.879

Values from the calculation:
As for the symmetry: R-3m, No. 166.

4.
This record from Alexandria via LeMat-Bulk describes a relaxed structure of LiDyZnCd. The functional is PBE.

a = 4.798 Å, b = 4.798 Å, c = 4.798 Å
α = 60.00°, β = 60.00°, γ = 60.00°
Element x y z (fractional)
Li 0.000 0.000 0.000
Dy 0.750 0.750 0.750
Zn 0.500 0.500 0.500
Cd 0.250 0.250 0.250

Values from the calculation:
As for the symmetry: F-43m, No. 216.

5.
This record from Alexandria via LeMat-Bulk describes a relaxed structure of DyLu2Cd. The functional is PBE.

a = 11.931 Å, b = 11.931 Å, c = 11.931 Å
α = 16.39°, β = 16.39°, γ = 16.39°
Element x y z (fractional)
Dy 0.000 0.000 0.000
Lu 0.096 0.096 0.096
Lu 0.904 0.904 0.904
Cd 0.500 0.500 0.500

Values from the calculation:
As for the symmetry: R-3m, No. 166.

6.
This record from Alexandria via LeMat-Bulk describes a relaxed structure of DyLu2Cd. The functional is PBE.

a = 5.369 Å, b = 5.369 Å, c = 5.369 Å
α = 60.00°, β = 60.00°, γ = 60.00°
Element x y z (fractional)
Dy 0.000 0.000 0.000
Lu 0.250 0.250 0.250
Lu 0.750 0.750 0.750
Cd 0.500 0.500 0.500

Values from the calculation:
As for the symmetry: Fm-3m, No. 225.

| no. | uncorrected energy (eV/cell) |
| --- | --- |
| 1 | -49.4 |
| 2 | -23.6 |
| 3 | -25.5 |
| 4 | -9.8 |
| 5 | -13.9 |
| 6 | -14.5 |